An optimized crystal structure of DyHo4Pu3S8. Source: the Alexandria database, functional PBE-GGA.

Calculated values
energy relative to the elements, uncorrected: -44.5 kcal/mol of atoms
volume: 339 Å³/f.u.

Cell lengths 7.842, 7.842, 7.842 Å; angles 59.70, 59.70, 59.70 degrees
Sites, in units of the cell vectors:
Dy (0.000, 0.000, 0.000)
Ho (0.000, 0.000, 0.500)
Ho (0.000, 0.500, 0.000)
Ho (0.500, 0.000, 0.000)
Ho (0.500, 0.500, 0.500)
Pu (0.000, 0.500, 0.500)
Pu (0.500, 0.000, 0.500)
Pu (0.500, 0.500, 0.000)
S (0.247, 0.749, 0.749)
S (0.248, 0.248, 0.248)
S (0.251, 0.251, 0.753)
S (0.251, 0.753, 0.251)
S (0.749, 0.247, 0.749)
S (0.749, 0.749, 0.247)
S (0.752, 0.752, 0.752)
S (0.753, 0.251, 0.251)